Computed, not measured: a relaxed structure of Sc5Mn24 at the PBEsol level of DFT.

Cell: 7.6202 7.6202 7.6202 Å, 109.47 109.47 109.47°
Last column: nearest neighbours and their distance in Å.
Atoms (fractional coordinates):
Mn 0.1952 0.1952 0.8184  4 Mn 2.20-2.43
Mn 0.3768 0.3768 0.1816  4 Mn 2.20-2.43
Mn 0.6232 0.8048 0.0000  4 Mn 2.20-2.43
Mn 0.8048 0.6232 0.0000  4 Mn 2.20-2.43
Mn 0.0000 0.8048 0.6232  4 Mn 2.20-2.43
Mn 0.0000 0.6232 0.8048  4 Mn 2.20-2.43
Mn 0.1816 0.3768 0.3768  4 Mn 2.20-2.43
Mn 0.8184 0.1952 0.1952  4 Mn 2.20-2.43
Mn 0.8048 0.0000 0.6232  4 Mn 2.20-2.43
Mn 0.6232 0.0000 0.8048  4 Mn 2.20-2.43
Mn 0.1952 0.8184 0.1952  4 Mn 2.20-2.43
Mn 0.3768 0.1816 0.3768  4 Mn 2.20-2.43
Mn 0.6658 0.6658 0.2772  1 Mn 2.20
Mn 0.3886 0.3886 0.7228  1 Mn 2.20
Mn 0.6114 0.3342 0.0000  1 Mn 2.20
Mn 0.3342 0.6114 0.0000  1 Mn 2.20
Mn 0.0000 0.3342 0.6114  1 Mn 2.20
Mn 0.0000 0.6114 0.3342  1 Mn 2.20
Mn 0.7228 0.3886 0.3886  1 Mn 2.20
Mn 0.2772 0.6658 0.6658  1 Mn 2.20
Mn 0.3342 0.0000 0.6114  1 Mn 2.20
Mn 0.6114 0.0000 0.3342  1 Mn 2.20
Mn 0.6658 0.2772 0.6658  1 Mn 2.20
Mn 0.3886 0.7228 0.3886  1 Mn 2.20
Sc 0.0000 0.0000 0.3783  15 Mn 2.57-2.87, 1 Sc 2.88
Sc 0.6217 0.6217 0.6217  15 Mn 2.57-2.87, 1 Sc 2.88
Sc 0.3783 0.0000 0.0000  15 Mn 2.57-2.87, 1 Sc 2.88
Sc 0.0000 0.3783 0.0000  15 Mn 2.57-2.87, 1 Sc 2.88
Sc 0.0000 0.0000 0.0000  12 Mn 2.76, 4 Sc 2.88

Calculated values
Size of the total moment = 2.4 μB/cell
Formation energy from the elements = -0.02 eV per atom
Symmetry = I-43m (217)